Entry 1:
Below is an optimized crystal structure of InTe2Au, with properties calculated at the GGA-PBE level.

Properties
Total magnetization   0.00 Bohr magnetons per cell
DOS(E_F)   1.60 states/eV/f.u.
Formation energy without anion corrections   0.08 eV per atom

extended XYZ file:
```
4
Lattice="4.137 0.000 0.000 0.000 7.291 0.000 0.000 0.000 4.054" Properties=species:S:1:pos:R:3 pbc="T T T"
Te 2.069 3.645 0.000
Te 0.000 0.000 0.000
In 0.000 3.645 2.027
Au 2.069 0.000 2.027
```

Entry 2:
Below is an optimized crystal structure of InTe2Au, with properties calculated at the GGA-PBE level.

Properties
Total magnetization   0.00 Bohr magnetons per cell
DOS(E_F)   1.98 states/eV/f.u.
Formation energy without anion corrections   -0.08 eV per atom

extended XYZ file:
```
4
Lattice="-0.086 4.119 -0.676 -2.996 1.662 -2.386 -5.265 2.812 4.918" Properties=species:S:1:pos:R:3 pbc="T T T"
Te -4.339 2.619 3.620
Te -1.980 2.126 0.314
Au -7.294 6.661 2.841
In -4.172 4.297 0.927
```

Entry 3:
Below is an optimized crystal structure of InTeAu2, with properties calculated at the GGA-PBE level.

Properties
Total magnetization   0.00 Bohr magnetons per cell
DOS(E_F)   2.45 states/eV/f.u.
Formation energy without anion corrections   -0.07 eV per atom

extended XYZ file:
```
4
Lattice="-5.661 0.779 -3.373 -6.581 -0.810 0.255 1.111 3.482 1.806" Properties=species:S:1:pos:R:3 pbc="T T T"
In -5.659 1.727 -0.679
Au -8.402 2.632 -0.978
Au -11.100 3.417 -1.319
Te -2.666 0.850 -0.304
```

Entry 4:
Below is an optimized crystal structure of InTe2Au, with properties calculated at the GGA-PBE level.

Properties
Total magnetization   0.00 Bohr magnetons per cell
DOS(E_F)   2.03 states/eV/f.u.
Formation energy without anion corrections   0.18 eV per atom

extended XYZ file:
```
4
Lattice="5.265 0.000 0.000 2.632 4.559 0.000 2.632 1.520 4.298" Properties=species:S:1:pos:R:3 pbc="T T T"
Te 2.632 1.520 1.075
Te 0.000 0.000 0.000
Au 5.265 3.039 2.149
In 7.897 4.559 3.224
```

Entry 5:
Below is an optimized crystal structure of In2Te4Au, with properties calculated at the GGA-PBE level.

Properties
Total magnetization   0.00 Bohr magnetons per cell
DOS(E_F)   2.92 states/eV/f.u.
Formation energy without anion corrections   -0.17 eV per atom

extended XYZ file:
```
7
Lattice="4.388 0.000 0.000 -2.194 3.800 0.000 0.000 0.000 14.509" Properties=species:S:1:pos:R:3 pbc="T T T"
In 0.000 2.534 1.131
In 2.194 1.267 5.672
Au 0.000 0.000 10.011
Te 0.000 0.000 7.218
Te 0.000 0.000 14.284
Te 0.000 2.534 3.931
Te 0.000 2.534 10.973
```

Entry 6:
Below is an optimized crystal structure of In2TeAu, with properties calculated at the GGA-PBE level.

Properties
Total magnetization   0.00 Bohr magnetons per cell
DOS(E_F)   1.73 states/eV/f.u.
Formation energy without anion corrections   -0.06 eV per atom

extended XYZ file:
```
4
Lattice="3.504 -0.002 0.000 -0.040 3.503 0.000 0.000 0.000 8.281" Properties=species:S:1:pos:R:3 pbc="T T T"
Au 1.732 1.751 6.211
In 0.000 0.000 7.984
In 0.000 0.000 4.438
Te 1.732 1.751 2.070
```

Entry 7:
Below is an optimized crystal structure of InTe2Au, with properties calculated at the GGA-PBE level.

Properties
Total magnetization   0.00 Bohr magnetons per cell
DOS(E_F)   1.02 states/eV/f.u.
Formation energy without anion corrections   -0.20 eV per atom

extended XYZ file:
```
4
Lattice="-1.214 4.443 0.428 0.218 -2.709 3.743 7.215 1.881 0.942" Properties=species:S:1:pos:R:3 pbc="T T T"
Te 2.618 0.683 0.342
Te 5.779 3.758 2.384
In 3.072 3.052 2.030
Au 6.899 1.799 0.900
```

Entry 8:
Below is an optimized crystal structure of InTeAu2, with properties calculated at the GGA-PBE level.

Properties
Total magnetization   0.00 Bohr magnetons per cell
DOS(E_F)   2.03 states/eV/f.u.
Formation energy without anion corrections   0.12 eV per atom

extended XYZ file:
```
4
Lattice="3.230 0.000 0.000 0.000 3.230 0.000 0.000 0.000 8.900" Properties=species:S:1:pos:R:3 pbc="T T T"
Te 1.615 1.615 6.959
In 0.000 0.000 4.028
Au 0.000 0.000 0.264
Au 1.615 1.615 2.100
```

> What is the formula in the second record?

InTe2Au

> Among the records above, which one has the highest formation energy without anion corrections?

number 4

> Which formula does entry 3 have?

InTeAu2